Record 1
16
Lattice="-1.3505 -8.4583 -0.6611 5.6778 -0.4009 -6.4347 2.2586 3.4763 7.6008" Properties=species:S:1:pos:R:3 comment="Nd4SbTeS2, optimized geometry, DFT PBE" sg="Imma, No. 74" formation_energy_uncorrected_ev_per_atom=-1.66 pbc="T T T"
Nd 3.9402 -2.6140 -4.9071
Nd 1.3307 -4.7199 1.7643
Nd 5.2552 -0.6629 -1.2592
Nd 2.6458 -2.7690 5.4121
Nd 3.3679 -6.4806 -5.1671
Nd 4.3749 -4.9296 -1.7767
Nd 2.2111 -0.4532 2.2817
Nd 3.2181 1.0978 5.6721
Sb 2.8389 -0.2004 -3.2173
Sb 2.6177 -6.9205 -0.0780
Te 3.2930 -2.6914 0.2525
Te 0.9081 -4.9819 6.9397
S -0.6752 -4.2292 -0.3306
S 0.4541 -2.4910 3.4698
S 1.1293 1.7381 3.8004
S 2.1636 -4.4296 -3.5479

***

Record 2
12
Lattice="3.5690 0.0000 0.0000 0.0000 10.6456 -0.3468 0.0000 -3.1434 10.1769" Properties=species:S:1:pos:R:3 comment="NdYEr3Th, optimized geometry, DFT PBE" sg="P2_1/m, No. 11" formation_energy_mev_per_atom=24 pbc="T T T"
Nd 0.8922 -0.5846 6.3510
Nd 2.6767 8.0868 3.4792
Y 0.8922 0.4501 2.9017
Y 2.6767 7.0521 6.9285
Er 2.6767 9.1579 0.1077
Er 0.8922 -1.6556 9.7225
Er 0.8922 5.1851 4.4358
Er 2.6767 2.3171 5.3944
Er 2.6767 3.3862 1.9694
Er 0.8922 4.1160 7.8608
Th 0.8922 6.2451 1.0233
Th 2.6767 1.2572 8.8069

***

Record 3
4
Lattice="0.0000 3.0697 3.0697 3.0697 0.0000 3.0697 3.0697 3.0697 0.0000" Properties=species:S:1:pos:R:3 comment="GaSnB2, optimized geometry, DFT PBE" sg="Fm-3m, No. 225" formation_energy_mev_per_atom=1369 pbc="T T T"
B 1.5348 1.5348 1.5348
B 4.6045 4.6045 4.6045
Sn 3.0697 3.0697 3.0697
Ga 0.0000 0.0000 0.0000

***

Final energy readings, ordered: -0.21975, -0.19721, -0.13696 hartree per atom